Here is an optimized crystal structure of Li2InHgH from the Alexandria database. Energies are from GGA-PBE.

Unit cell a=4.4005 b=4.4005 c=4.1025 alpha=90.00 beta=90.00 gamma=90.00
Space group P4/mmm (No. 123)
Unique sites:
Li: 0.0000 0.5000 0.0000 x2
In: 0.0000 0.0000 0.5000 x1
Hg: 0.5000 0.5000 0.5000 x1
H: 0.5000 0.5000 0.0000 x1

Calculated values
**Fermi-level density of states**: 0.263 states/eV per atom
**Raw total energy**: -2.1812 eV/atom